No. 1
GdTmLu2 PBE optimized geometry; symmetry = No. 38; raw total energy = -4.542 eV/atom
1.0
5.539 0.000 0.000
0.000 3.543 6.137
0.000 -3.543 6.137
Gd Lu Tm
2 4 2
Direct
0.500 0.333 0.333 Gd
0.000 0.667 0.667 Gd
0.000 0.669 0.166 Lu
0.000 0.166 0.166 Lu
0.000 0.166 0.669 Lu
0.500 0.834 0.834 Lu
0.500 0.834 0.331 Tm
0.500 0.331 0.834 Tm


No. 2
GdTm2Lu PBE optimized geometry; symmetry = No. 63; raw total energy = -4.529 eV/atom
1.0
3.553 -6.154 0.000
3.553 6.154 0.000
0.000 0.000 5.554
Gd Lu Tm
2 2 4
Direct
0.667 0.333 0.250 Gd
0.333 0.667 0.750 Gd
0.166 0.834 0.250 Lu
0.834 0.166 0.750 Lu
0.166 0.331 0.250 Tm
0.669 0.834 0.250 Tm
0.331 0.166 0.750 Tm
0.834 0.669 0.750 Tm


No. 3
Gd2TmLu5 PBE optimized geometry; symmetry = No. 38; raw total energy = -4.548 eV/atom
1.0
-1.507 -5.151 -1.342
-3.681 -0.493 6.024
-6.801 1.948 0.160
Gd Lu Tm
2 5 1
Direct
0.000 0.333 0.333 Gd
0.500 0.667 0.667 Gd
0.500 0.669 0.166 Lu
0.000 0.834 0.331 Lu
0.500 0.166 0.669 Lu
0.000 0.331 0.834 Lu
0.000 0.834 0.834 Lu
0.500 0.166 0.166 Tm